Entry from Alexandria via LeMat-Bulk: a geometry-optimized FeSi2O6 structure (GGA+U).

Cell lengths 5.316, 5.316, 19.906 Å; angles 87.97, 87.97, 120.71 degrees
Fractional coordinates of all 36 atoms:
Fe1 0.163 0.328 0.500
Fe2 0.672 0.837 0.000
Fe3 0.837 0.672 0.500
Fe4 0.328 0.163 0.000
Si1 0.119 0.618 0.640
Si2 0.382 0.881 0.860
Si3 0.881 0.382 0.360
Si4 0.618 0.119 0.140
Si5 0.462 0.308 0.641
Si6 0.692 0.538 0.859
Si7 0.538 0.692 0.359
Si8 0.308 0.462 0.141
O1 0.109 0.592 0.558
O2 0.408 0.891 0.942
O3 0.891 0.408 0.442
O4 0.592 0.109 0.058
O5 0.500 0.377 0.558
O6 0.623 0.500 0.942
O7 0.500 0.623 0.442
O8 0.377 0.500 0.058
O9 0.878 0.985 0.550
O10 0.015 0.122 0.950
O11 0.122 0.015 0.450
O12 0.985 0.878 0.050
O13 0.308 0.958 0.659
O14 0.042 0.692 0.841
O15 0.692 0.042 0.341
O16 0.958 0.308 0.159
O17 0.783 0.476 0.672
O18 0.524 0.217 0.828
O19 0.217 0.524 0.328
O20 0.476 0.783 0.172
O21 0.262 0.434 0.671
O22 0.566 0.738 0.829
O23 0.738 0.566 0.329
O24 0.434 0.262 0.171

Summary:
Mass density ... 2.86 g cm⁻³
Magnetization ... 4.0 μB per formula unit
Energy ... -7.3050 eV per atom
Space-group type ... C2/c, No. 15
Distance to the lowest polymorph of the same formula ... 0 meV/atom